VASP calculation (PBE+U) on a relaxed structure of MnBi2O6.

Summary:
Volume = 12.66 Å³ per atom
Raw total energy = -0.437 Ry per atom
Magnetic moment = 1.03 Bohr magnetons per cell
DOS at the Fermi energy = 1.3 states/eV/cell
SG = P-3 (147)

Geometry as extended XYZ:
```
9
Lattice="5.5593 0.0000 0.0000 -2.7796 4.8145 0.0000 0.0000 0.0000 4.2560" Properties=species:S:1:pos:R:3 pbc="T T T"
Mn 0.0000 0.0000 0.0000
Bi 0.0000 3.2096 0.7435
Bi 2.7796 1.6048 3.5125
O -0.5113 1.6307 3.3084
O -1.1117 4.4419 3.3084
O 1.1566 1.2582 0.9476
O 1.6231 3.5563 3.3084
O 3.8914 0.3725 0.9476
O 3.2910 3.1838 0.9476
```